(1)
{
  "formula": "RbYNiS3",
  "functional": "GGA-PBE",
  "state": "optimized geometry",
  "mass_density_g_cm3": 3.48,
  "e_tot_ev_per_atom": -5.54,
  "magnetic_moment_mub_per_atom": 0.211,
  "lattice": [[8.987, 0.000, 0.000], [0.000, 3.938, 0.000], [-3.046, 0.000, 8.882]],
  "species": ["S", "S", "S", "S", "S", "S", "Rb", "Rb", "Y", "Y", "Ni", "Ni"],
  "fractional_positions": [[0.383, 0.750, 0.650], [0.965, 0.750, 0.661], [0.326, 0.250, 0.957], [0.617, 0.250, 0.350], [0.674, 0.750, 0.043], [0.035, 0.250, 0.339], [0.706, 0.250, 0.740], [0.294, 0.750, 0.260], [0.830, 0.750, 0.359], [0.170, 0.250, 0.641], [0.577, 0.250, 0.097], [0.423, 0.750, 0.903]]
}

***

(2)
{
  "formula": "Ho2TmMg3Tl2Zn",
  "functional": "GGA-PBE",
  "state": "optimized geometry",
  "mass_density_g_cm3": 7.95,
  "e_tot_ev_per_atom": -3.00,
  "magnetic_moment_mub_per_atom": 0.000,
  "lattice": [[4.518, 0.000, 0.000], [0.000, 6.459, 3.743], [0.000, -6.459, 3.743]],
  "species": ["Mg", "Mg", "Mg", "Tl", "Tl", "Ho", "Ho", "Tm", "Zn"],
  "fractional_positions": [[0.500, 0.000, 0.236], [0.500, 0.765, 0.765], [0.500, 0.236, 0.000], [0.500, 0.334, 0.665], [0.500, 0.665, 0.334], [0.000, 0.999, 0.583], [0.000, 0.583, 0.999], [0.000, 0.416, 0.416], [0.000, 0.002, 0.002]]
}

***

(3)
{
  "formula": "TbYBr2O2",
  "functional": "GGA-PBE",
  "state": "optimized geometry",
  "mass_density_g_cm3": 5.83,
  "e_tot_ev_per_atom": -6.97,
  "magnetic_moment_mub_per_atom": 0.000,
  "lattice": [[-3.792, -0.431, 0.482], [0.557, -0.721, 3.737], [-0.722, 8.263, 1.702]],
  "species": ["Br", "Br", "O", "O", "Tb", "Y"],
  "fractional_positions": [[0.000, 0.000, 0.329], [0.500, 0.500, 0.671], [0.000, 0.500, 0.000], [0.500, 0.000, 0.000], [0.000, 0.000, 0.864], [0.500, 0.500, 0.135]]
}

***

Question: Which formula does entry 1 have?
Answer: RbYNiS3